1.
# BaThN2

A relaxed structure of BaThN2 (PBE, OQMD via LeMat-Bulk).

abc: 3.7577 3.7577 12.8580
angles: 90.00 90.00 120.00
Closest atoms and distances in Å follow each position.
Positions (direct):
Ba 0.3333 0.6667 0.2500  6 N 2.93
Ba 0.6667 0.3333 0.7500  6 N 2.93
Th 0.0000 0.0000 0.0000  6 N 2.50
Th 0.0000 0.0000 0.5000  6 N 2.50
N 0.3333 0.6667 0.5972  3 Th 2.50
N 0.3333 0.6667 0.9028  3 Th 2.50
N 0.6667 0.3333 0.0972  3 Th 2.50
N 0.6667 0.3333 0.4028  3 Th 2.50

Uncorrected energy in eV per atom: -7.683

***

2.
# Ac2Tb

A relaxed structure of Ac2Tb (PBE, OQMD via LeMat-Bulk).

abc: 10.2548 10.2548 10.2548
angles: 60.00 60.00 60.00
Closest atoms and distances in Å follow each position.
Positions (direct):
Ac 0.0000 0.0000 0.0000  2 Tb 3.14
Ac 0.0000 0.0000 0.5000  2 Tb 3.14
Ac 0.0000 0.5000 0.0000  2 Tb 3.14
Ac 0.5000 0.0000 0.0000  2 Tb 3.14
Tb 0.1250 0.1250 0.1250  4 Ac 3.14
Tb 0.8750 0.8750 0.8750  4 Ac 3.14

Energy of formation in eV per atom: 2.9515

***

3.
# AgB3Sb

A relaxed structure of AgB3Sb (PBE, OQMD via LeMat-Bulk).

abc: 6.1761 6.1761 6.1761
angles: 128.84 128.84 75.27
Closest atoms and distances in Å follow each position.
Positions (direct):
Ag 0.0000 0.0000 0.0000  4 B 2.18
Ag 0.5000 0.5000 0.0000  4 B 2.18
B 0.1055 0.6055 0.7110  1 B 1.59
B 0.2500 0.2500 0.0000  2 Ag 2.45, 4 Sb 2.67
B 0.3945 0.1055 0.5000  1 B 1.59
B 0.6055 0.8945 0.5000  1 B 1.59
B 0.7500 0.7500 0.0000  2 Ag 2.45, 4 Sb 2.67
B 0.8945 0.3945 0.2890  1 B 1.59
Sb 0.2500 0.7500 0.5000  8 B 2.57-2.67
Sb 0.7500 0.2500 0.5000  8 B 2.57-2.67

Uncorrected energy in eV per atom: -4.115

***

4.
# RbTaTe2AuSe

A relaxed structure of RbTaTe2AuSe (PBE, OQMD via LeMat-Bulk).

abc: 8.5616 8.5616 10.4633
angles: 90.00 90.00 153.08
Closest atoms and distances in Å follow each position.
Positions (direct):
Rb 0.2460 0.7540 0.7500  6 Te 3.63-3.69, 2 Se 3.77, 2 Au 3.92, 2 Rb 3.99
Rb 0.7540 0.2460 0.2500  6 Te 3.63-3.69, 2 Se 3.77, 2 Au 3.92, 2 Rb 3.99
Ta 0.0000 0.0000 0.0000  2 Se 2.81, 4 Te 2.87
Ta 0.0000 0.0000 0.5000  2 Se 2.81, 4 Te 2.87
Te 0.3775 0.6225 0.0270  1 Au 2.68, 2 Ta 2.87
Te 0.3775 0.6225 0.4730  1 Au 2.68, 2 Ta 2.87
Te 0.6225 0.3775 0.5270  1 Au 2.68, 2 Ta 2.87
Te 0.6225 0.3775 0.9730  1 Au 2.68, 2 Ta 2.87
Au 0.4569 0.5431 0.2500  2 Se 2.65, 2 Te 2.68
Au 0.5431 0.4569 0.7500  2 Se 2.65, 2 Te 2.68
Se 0.0616 0.9384 0.2500  2 Au 2.65, 2 Ta 2.81
Se 0.9384 0.0616 0.7500  2 Au 2.65, 2 Ta 2.81

Uncorrected energy in eV per atom: -4.684

***

5.
# InAg15

A relaxed structure of InAg15 (PBE, OQMD via LeMat-Bulk).

abc: 8.1921 44.9360 4.0856
angles: 90.00 90.00 90.00
Closest atoms and distances in Å follow each position.
Positions (direct):
In 0.1399 0.1442 0.0000  5 Ag 2.86-3.17, 2 In 3.07
In 0.1399 0.8558 0.5000  5 Ag 2.86-3.17, 2 In 3.07
In 0.8601 0.1442 0.5000  5 Ag 2.86-3.17, 2 In 3.07
In 0.8601 0.8558 0.0000  5 Ag 2.86-3.17, 2 In 3.07
Ag 0.1220 0.1979 0.5000  9 Ag 2.86-2.97, 2 In 3.17
Ag 0.1220 0.8021 0.0000  9 Ag 2.86-2.97, 2 In 3.17
Ag 0.1247 0.2918 0.5000  12 Ag 2.89-2.93
Ag 0.1249 0.3382 0.0000  12 Ag 2.89-2.92
Ag 0.1251 0.3846 0.5000  12 Ag 2.89-2.92
Ag 0.1253 0.4306 0.0000  12 Ag 2.89-2.92
Ag 0.1249 0.4769 0.5000  12 Ag 2.89-2.92
Ag 0.1249 0.5231 0.0000  12 Ag 2.89-2.92
Ag 0.1253 0.5694 0.5000  12 Ag 2.89-2.92
Ag 0.1251 0.6154 0.0000  12 Ag 2.89-2.92
Ag 0.1249 0.6618 0.5000  12 Ag 2.89-2.92
Ag 0.1247 0.7082 0.0000  12 Ag 2.89-2.93
Ag 0.1257 0.2452 0.0000  12 Ag 2.89-2.95
Ag 0.1257 0.7548 0.5000  12 Ag 2.89-2.95
Ag 0.3729 0.1985 0.0000  11 Ag 2.90-2.94, 1 In 3.10
Ag 0.3729 0.8015 0.5000  11 Ag 2.90-2.94, 1 In 3.10
Ag 0.3743 0.3382 0.5000  12 Ag 2.89-2.92
Ag 0.3743 0.6618 0.0000  12 Ag 2.89-2.92
Ag 0.3747 0.2452 0.5000  12 Ag 2.89-2.97
Ag 0.3749 0.2919 0.0000  12 Ag 2.89-2.94
Ag 0.3751 0.3845 0.0000  12 Ag 2.89-2.92
Ag 0.3750 0.4307 0.5000  12 Ag 2.89-2.92
Ag 0.3748 0.4769 0.0000  12 Ag 2.89-2.92
Ag 0.3748 0.5231 0.5000  12 Ag 2.89-2.92
Ag 0.3750 0.5693 0.0000  12 Ag 2.89-2.92
Ag 0.3751 0.6155 0.5000  12 Ag 2.89-2.92
Ag 0.3749 0.7081 0.5000  12 Ag 2.89-2.94
Ag 0.3747 0.7548 0.0000  12 Ag 2.89-2.97
Ag 0.3807 0.1515 0.5000  6 Ag 2.83-2.97, 2 In 2.86
Ag 0.3807 0.8485 0.0000  6 Ag 2.83-2.97, 2 In 2.86
Ag 0.6193 0.1515 0.0000  6 Ag 2.83-2.97, 2 In 2.86
Ag 0.6193 0.8485 0.5000  6 Ag 2.83-2.97, 2 In 2.86
Ag 0.6253 0.2452 0.0000  12 Ag 2.89-2.97
Ag 0.6251 0.2919 0.5000  12 Ag 2.89-2.94
Ag 0.6249 0.3845 0.5000  12 Ag 2.89-2.92
Ag 0.6250 0.4307 0.0000  12 Ag 2.89-2.92
Ag 0.6252 0.4769 0.5000  12 Ag 2.89-2.92
Ag 0.6252 0.5231 0.0000  12 Ag 2.89-2.92
Ag 0.6250 0.5693 0.5000  12 Ag 2.89-2.92
Ag 0.6249 0.6155 0.0000  12 Ag 2.89-2.92
Ag 0.6251 0.7081 0.0000  12 Ag 2.89-2.94
Ag 0.6253 0.7548 0.5000  12 Ag 2.89-2.97
Ag 0.6257 0.3382 0.0000  12 Ag 2.89-2.92
Ag 0.6257 0.6618 0.5000  12 Ag 2.89-2.92
Ag 0.6271 0.1985 0.5000  11 Ag 2.90-2.94, 1 In 3.10
Ag 0.6271 0.8015 0.0000  11 Ag 2.90-2.94, 1 In 3.10
Ag 0.8743 0.2452 0.5000  12 Ag 2.89-2.95
Ag 0.8743 0.7548 0.0000  12 Ag 2.89-2.95
Ag 0.8753 0.2918 0.0000  12 Ag 2.89-2.93
Ag 0.8751 0.3382 0.5000  12 Ag 2.89-2.92
Ag 0.8749 0.3846 0.0000  12 Ag 2.89-2.92
Ag 0.8747 0.4306 0.5000  12 Ag 2.89-2.92
Ag 0.8751 0.4769 0.0000  12 Ag 2.89-2.92
Ag 0.8751 0.5231 0.5000  12 Ag 2.89-2.92
Ag 0.8747 0.5694 0.0000  12 Ag 2.89-2.92
Ag 0.8749 0.6154 0.5000  12 Ag 2.89-2.92
Ag 0.8751 0.6618 0.0000  12 Ag 2.89-2.92
Ag 0.8753 0.7082 0.5000  12 Ag 2.89-2.93
Ag 0.8780 0.1979 0.0000  9 Ag 2.86-2.97, 2 In 3.17
Ag 0.8780 0.8021 0.5000  9 Ag 2.86-2.97, 2 In 3.17

Polymorph energy (0 for the lowest one) in eV per atom: 0.002

***

6.
# Nb4GeSN2

A relaxed structure of Nb4GeSN2 (PBE, OQMD via LeMat-Bulk).

abc: 3.2661 3.2661 12.0978
angles: 90.00 90.00 120.00
Closest atoms and distances in Å follow each position.
Positions (direct):
Nb 0.0000 0.0000 0.1485  3 N 2.21
Nb 0.0000 0.0000 0.8515  3 N 2.21
Nb 0.6667 0.3333 0.3352  3 N 2.18
Nb 0.6667 0.3333 0.6648  3 N 2.18
Ge 0.0000 0.0000 0.5000  6 Nb 2.74
S 0.6667 0.3333 0.0000  6 Nb 2.60
N 0.3333 0.6667 0.2443  6 Nb 2.18-2.21
N 0.3333 0.6667 0.7557  6 Nb 2.18-2.21

Uncorrected energy in eV per atom: -8.955

***

7.
# Er3CuSnS7

A relaxed structure of Er3CuSnS7 (PBE, OQMD via LeMat-Bulk).

abc: 9.6933 9.6933 6.1661
angles: 90.00 90.00 120.00
Closest atoms and distances in Å follow each position.
Positions (direct):
Er 0.1459 0.3593 0.0000  6 S 2.70-2.88
Er 0.2134 0.8541 0.0000  6 S 2.70-2.88
Er 0.3593 0.2134 0.5000  6 S 2.70-2.88
Er 0.6407 0.7866 0.0000  6 S 2.70-2.88
Er 0.7866 0.1459 0.5000  6 S 2.70-2.88
Er 0.8541 0.6407 0.5000  6 S 2.70-2.88
Cu 0.0000 0.0000 0.1087  3 S 2.23
Cu 0.0000 0.0000 0.6087  3 S 2.23
Sn 0.3333 0.6667 0.4370  4 S 2.39-2.42
Sn 0.6667 0.3333 0.9370  4 S 2.39-2.42
S 0.0817 0.5654 0.2504  1 Sn 2.42
S 0.1139 0.2638 0.5776  1 Cu 2.23
S 0.1499 0.8861 0.5776  1 Cu 2.23
S 0.2638 0.1499 0.0776  1 Cu 2.23
S 0.3333 0.6667 0.8244  1 Sn 2.39
S 0.4346 0.5163 0.2504  1 Sn 2.42
S 0.4837 0.9183 0.2504  1 Sn 2.42
S 0.5163 0.0817 0.7504  1 Sn 2.42
S 0.5654 0.4837 0.7504  1 Sn 2.42
S 0.6667 0.3333 0.3244  1 Sn 2.39
S 0.7362 0.8501 0.5776  1 Cu 2.23
S 0.8501 0.1139 0.0776  1 Cu 2.23
S 0.8861 0.7362 0.0776  1 Cu 2.23
S 0.9183 0.4346 0.7504  1 Sn 2.42

Uncorrected energy in eV per atom: -5.590

***

8.
# Sc4FeSbN2

A relaxed structure of Sc4FeSbN2 (PBE, OQMD via LeMat-Bulk).

abc: 3.2497 3.2497 13.5883
angles: 90.00 90.00 120.00
Closest atoms and distances in Å follow each position.
Positions (direct):
Sc 0.0000 0.0000 0.1407  3 N 2.34
Sc 0.0000 0.0000 0.8593  3 N 2.34
Sc 0.6667 0.3333 0.3229  3 N 2.16
Sc 0.6667 0.3333 0.6771  3 N 2.16
Fe 0.6667 0.3333 0.0000  6 Sc 2.68
Sb 0.0000 0.0000 0.5000  6 Sc 3.05, 6 Sb 3.25
N 0.3333 0.6667 0.2441  6 Sc 2.16-2.34
N 0.3333 0.6667 0.7559  6 Sc 2.16-2.34

Uncorrected energy in eV per atom: -7.801

***

Question: Number 4 is which compound?
Answer: RbTaTe2AuSe

***

Question: Which formula does entry 5 have?
Answer: InAg15